Entry 1:
A plane-wave DFT calculation with PBE-GGA was carried out for a geometry-optimized Li2AsRhF structure.

Formation energy (no corrections), meV/atom: -1016
Space group: No. 123
Electronic total energy, eV per atom: -4.56
Volume, Å³/atom: 13.747

Unit cell a=3.6653 b=5.1162 c=3.6653 alpha=90.00 beta=90.00 gamma=90.00
Positions (direct):
As1 0.5000 0.5000 0.5000
Li1 0.0000 0.0000 0.5000
Li2 0.5000 0.0000 0.0000
Rh1 0.0000 0.5000 0.0000
F1 0.0000 0.0000 0.0000

***

Entry 2:
A plane-wave DFT calculation with PBE-GGA was carried out for a geometry-optimized LiAs2SeF structure.

Formation energy (no corrections), meV/atom: 186
Space group: No. 123
Electronic total energy, eV per atom: -3.13
Volume, Å³/atom: 18.247
Energy above the most stable polymorph in this dataset, meV per atom: 206.7

Unit cell a=4.5322 b=4.5322 c=4.4415 alpha=90.00 beta=90.00 gamma=90.00
Positions (direct):
As1 0.0000 0.5000 0.0000
As2 0.5000 0.0000 0.0000
Li1 0.0000 0.0000 0.0000
Se1 0.0000 0.0000 0.5000
F1 0.5000 0.5000 0.5000

***

What is the formation energy (no corrections) in the first record? -1016 meV/atom

***

Among the records above, which one has the lowest formation energy (no corrections)? Li2AsRhF

***

The lowest electronic total energy belongs to which entry? Li2AsRhF